Entry 1:
Crystalline YRuSCl2 at its relaxed geometry. Source: Alexandria via LeMat-Bulk, functional PBE.

Calculated values
Offset from the most stable computed form ... 152.0 meV/atom
Fermi-level density of states ... 4.582 states/eV per cell
Uncorrected formation energy ... -0.340 eV per atom
Mass density ... 3.38 Mg/m³
M_tot ... 3.05 μB per cell

Cell: 5.1890 5.1890 5.3401 Å, 90.00 90.00 90.00°
With the nearest neighbours (Å) after each atom.
Space group P4/mmm (No. 123)
Symmetry-distinct sites (fractional):
Y  0.0000  0.0000  0.0000 x1  4 Cl 2.59, 2 S 2.67
Ru  0.5000  0.5000  0.5000 x1  4 S 3.67, 8 Cl 3.72
S  0.0000  0.0000  0.5000 x1  2 Y 2.67
Cl  0.0000  0.5000  0.0000 x2  2 Y 2.59

Entry 2:
Crystalline YRuS2Cl at its relaxed geometry. Source: Alexandria via LeMat-Bulk, functional PBE.

Calculated values
Offset from the most stable computed form ... 558.7 meV/atom
Fermi-level density of states ... 8.385 states/eV per cell
Uncorrected formation energy ... 0.002 eV per atom
Mass density ... 3.41 Mg/m³
M_tot ... 3.45 μB per cell

Cell: 5.2548 5.2548 5.1017 Å, 90.00 90.00 90.00°
With the nearest neighbours (Å) after each atom.
Space group P4/mmm (No. 123)
Symmetry-distinct sites (fractional):
Y  0.0000  0.0000  0.0000 x1  2 Cl 2.55, 4 S 2.63
Ru  0.5000  0.5000  0.5000 x1  8 S 3.66, 4 Cl 3.72
S  0.0000  0.5000  0.0000 x2  2 Y 2.63
Cl  0.0000  0.0000  0.5000 x1  2 Y 2.55

Entry 3:
Crystalline YRuSCl2 at its relaxed geometry. Source: Alexandria via LeMat-Bulk, functional PBE.

Calculated values
Offset from the most stable computed form ... 0.0 meV/atom
Fermi-level density of states ... 2.657 states/eV per cell
Uncorrected formation energy ... -0.492 eV per atom
Mass density ... 4.69 Mg/m³
M_tot ... 0.00 μB per cell

Cell: 4.6486 4.6486 4.7984 Å, 90.00 90.00 90.00°
With the nearest neighbours (Å) after each atom.
Space group P4/mmm (No. 123)
Symmetry-distinct sites (fractional):
Y  0.0000  0.0000  0.0000 x1  4 S 3.29, 8 Cl 3.34
Ru  0.5000  0.5000  0.5000 x1  4 Cl 2.32, 2 S 2.40
S  0.5000  0.5000  0.0000 x1  2 Ru 2.40
Cl  0.0000  0.5000  0.5000 x2  2 Ru 2.32

Entry 4:
Crystalline YRu2SCl at its relaxed geometry. Source: Alexandria via LeMat-Bulk, functional PBE.

Calculated values
Fermi-level density of states ... 5.534 states/eV per cell
Uncorrected formation energy ... 1.296 eV per atom
Mass density ... 4.33 Mg/m³
M_tot ... 4.17 μB per cell

Cell: 5.2301 5.2301 5.0229 Å, 90.00 90.00 90.00°
With the nearest neighbours (Å) after each atom.
Space group P4/mmm (No. 123)
Symmetry-distinct sites (fractional):
Y  0.0000  0.0000  0.0000 x1  2 S 2.51, 4 Ru 2.62
Ru  0.0000  0.5000  0.0000 x2  2 Y 2.62
S  0.0000  0.0000  0.5000 x1  2 Y 2.51
Cl  0.5000  0.5000  0.5000 x1  8 Ru 3.63, 4 S 3.70

Entry 5:
Crystalline Zn2RuSCl at its relaxed geometry. Source: Alexandria via LeMat-Bulk, functional PBE.

Calculated values
Fermi-level density of states ... 3.364 states/eV per cell
Uncorrected formation energy ... 0.981 eV per atom
Mass density ... 4.77 Mg/m³
M_tot ... 2.04 μB per cell

Cell: 4.6173 4.6173 4.8876 Å, 90.00 90.00 90.00°
With the nearest neighbours (Å) after each atom.
Space group P4/mmm (No. 123)
Symmetry-distinct sites (fractional):
Zn  0.0000  0.5000  0.0000 x2  2 S 2.31
Ru  0.0000  0.0000  0.5000 x1  4 Cl 3.26, 8 Zn 3.36
S  0.5000  0.5000  0.0000 x1  4 Zn 2.31, 2 Cl 2.44
Cl  0.5000  0.5000  0.5000 x1  2 S 2.44

Entry 6:
Crystalline ZnRuSCl2 at its relaxed geometry. Source: Alexandria via LeMat-Bulk, functional PBE.

Calculated values
Offset from the most stable computed form ... 456.7 meV/atom
Fermi-level density of states ... 3.789 states/eV per cell
Uncorrected formation energy ... 0.500 eV per atom
Mass density ... 4.11 Mg/m³
M_tot ... 4.00 μB per cell

Cell: 4.7027 4.7027 4.9243 Å, 90.00 90.00 90.00°
With the nearest neighbours (Å) after each atom.
Space group P4/mmm (No. 123)
Symmetry-distinct sites (fractional):
Zn  0.0000  0.0000  0.0000 x1  4 Cl 2.35, 2 S 2.46
Ru  0.5000  0.5000  0.5000 x1  4 S 3.33, 8 Cl 3.40
S  0.0000  0.0000  0.5000 x1  2 Zn 2.46
Cl  0.0000  0.5000  0.0000 x2  2 Zn 2.35